# 1
Here is crystalline Y2MgSi2 at its relaxed geometry from Alexandria. Energies are from PBE-GGA.

Output
- Crystal system: tetragonal
- Spin magnetization: 0.000 μB per formula unit
- N(E_F): 3.140 states/eV/cell
- Uncorrected formation energy: -0.735 eV per atom

Cell: 7.186 7.186 4.214 Å, 90.00 90.00 90.00°
Space group P4/mbm (No. 127)
Unique sites:
Y (0.179, 0.321, 0.000)
Mg (0.000, 0.000, 0.500)
Si (0.118, 0.618, 0.500)

# 2
Here is crystalline PaNb2Tc at its relaxed geometry from Alexandria. Energies are from PBE-GGA.

Output
- Crystal system: tetragonal
- E_form: 0.019 eV/atom
- Spin magnetization: 0.000 μB per formula unit
- Offset from the most stable computed form: 63 meV/atom
- N(E_F): 4.014 states/eV/cell

Cell: 3.336 3.336 6.749 Å, 90.00 90.00 90.00°
Space group P4/mmm (No. 123)
Unique sites:
Pa (0.000, 0.000, 0.000)
Nb (0.500, 0.500, 0.267)
Tc (0.000, 0.000, 0.500)